(1)
A relaxed structure of PRhBr2. Source: Alexandria via LeMat-Bulk, functional PBE-GGA.

Lattice parameters (Å, degrees): 3.455 3.455 7.922 90.00 90.00 90.00
Space group P4mm (No. 99)
Unique sites:
P 0.000 0.000 0.000
Rh 0.500 0.500 0.966
Br 0.000 0.000 0.285
Br 0.500 0.500 0.657

Output
total DFT energy (no corrections): -4.128 eV per atom
M_tot: 0.00 μB/f.u.
DOS(E_F): 2.6 states/eV/f.u.

(2)
A relaxed structure of HgBi2WSe. Source: Alexandria via LeMat-Bulk, functional PBE-GGA.

Lattice parameters (Å, degrees): 5.680 5.680 5.066 90.00 90.00 90.00
Space group P4/mmm (No. 123)
Unique sites:
Hg 0.000 0.000 0.000
Bi 0.000 0.500 0.000
W 0.500 0.500 0.500
Se 0.000 0.000 0.500

Output
total DFT energy (no corrections): -3.210 eV per atom
M_tot: 3.42 μB/f.u.
DOS(E_F): 4.0 states/eV/f.u.

(3)
A relaxed structure of KZn4Te3O12. Source: Alexandria via LeMat-Bulk, functional PBE-GGA.

Lattice parameters (Å, degrees): 11.4079 11.4079 7.9533 90.00 90.00 120.00
Space group R32 (No. 155, hexagonal axes)
Unique sites:
K 0.0000 0.0000 0.0000
Zn 0.0000 0.0000 0.5000
Zn 0.0000 0.4395 0.5000
Te 0.0000 0.5554 0.0000
O 0.0000 0.6081 0.5000
O 0.0000 0.8315 0.5000
O 0.0601 0.2275 0.1960

Output
total DFT energy (no corrections): -4.872 eV per atom
M_tot: 0.00 μB/f.u.
DOS(E_F): 3.0 states/eV/f.u.

(4)
A relaxed structure of Sr2ReSi. Source: Alexandria via LeMat-Bulk, functional PBE-GGA.

Lattice parameters (Å, degrees): 11.347 11.347 4.610 90.00 90.00 90.00
Space group I-42d (No. 122)
Unique sites:
Sr 0.077 0.250 0.125
Re 0.000 0.000 0.500
Si 0.000 0.000 0.000

Output
total DFT energy (no corrections): -4.741 eV per atom
M_tot: 1.56 μB/f.u.
DOS(E_F): 4.8 states/eV/f.u.